## Tl2HgGeI4 (PBE-GGA)

Data for a relaxed structure of Tl2HgGeI4.

a = 4.5284 Å, b = 7.7447 Å, c = 10.1039 Å
α = 67.28°, β = 77.05°, γ = 73.00°
Atoms (fractional coordinates):
Hg (0.5000, 0.5000, 0.5000)
I (0.1403, 0.0347, 0.6848)
I (0.8597, 0.9653, 0.3152)
I (0.6173, 0.7041, 0.0612)
I (0.3827, 0.2959, 0.9388)
Ge (0.0000, 0.0000, 0.0000)
Tl (0.1987, 0.3102, 0.2924)
Tl (0.8013, 0.6898, 0.7076)

Computed properties:
Space group   No. 12
DOS(E_F)   0.00 states/eV per atom
Total magnetic moment   0.000 μB per atom
Formation energy without anion corrections   -0.421 eV/atom



## Ca2BAsO (PBE-GGA)

Data for a relaxed structure of Ca2BAsO.

a = 5.3344 Å, b = 3.2337 Å, c = 5.3344 Å
α = 90.00°, β = 90.00°, γ = 90.00°
Atoms (fractional coordinates):
O (0.0000, 0.5000, 0.0000)
Ca (0.0000, 0.0000, 0.5000)
Ca (0.5000, 0.0000, 0.0000)
B (0.0000, 0.0000, 0.0000)
As (0.5000, 0.5000, 0.5000)

Computed properties:
Space group   No. 123
Energy relative to the lowest polymorph listed for this composition   0 meV/atom
DOS(E_F)   0.31 states/eV per atom
Total magnetic moment   0.000 μB per atom
Formation energy without anion corrections   -0.478 eV/atom



## K2MgCr (PBE-GGA)

Data for a relaxed structure of K2MgCr.

a = 5.6334 Å, b = 3.6097 Å, c = 8.2564 Å
α = 63.30°, β = 90.00°, γ = 90.00°
Site moments in Bohr magnetons follow the coordinates.
Atoms (fractional coordinates):
Mg (0.5000, 0.2500, 0.2500)  0.00
K (0.0000, 0.4948, 0.5066)  0.01
K (0.0000, 0.0052, 0.9934)  0.01
Cr (0.5000, 0.7500, 0.7500)  4.16

Computed properties:
Space group   No. 10
Energy of formation from the pure elements   0.745 eV/atom
DOS(E_F)   0.56 states/eV per atom
Total magnetic moment   1.265 μB per atom



## MgC2Cl (PBE-GGA)

Data for a relaxed structure of MgC2Cl.

a = 4.9346 Å, b = 4.9346 Å, c = 5.9862 Å
α = 65.66°, β = 65.66°, γ = 90.00°
Site moments in Bohr magnetons follow the coordinates.
Atoms (fractional coordinates):
Mg (0.2500, 0.7500, 0.5000)  0.01
Mg (0.5000, 0.5000, 0.0000)  0.01
C (0.3750, 0.3467, 0.7500)  0.23
C (0.6533, 0.1250, 0.2500)  0.23
C (0.8750, 0.9033, 0.7500)  0.24
C (0.0967, 0.6250, 0.2500)  0.25
Cl (0.0000, 0.0000, 0.0000)  0.02
Cl (0.7500, 0.2500, 0.5000)  0.02

Computed properties:
Space group   No. 122
Energy relative to the lowest polymorph listed for this composition   0 meV/atom
DOS(E_F)   0.09 states/eV per atom
Total magnetic moment   0.250 μB per atom
Formation energy without anion corrections   2.146 eV/atom



## RbCu2Cl (PBE-GGA)

Data for a relaxed structure of RbCu2Cl.

a = 4.7328 Å, b = 4.7328 Å, c = 10.8096 Å
α = 77.35°, β = 77.35°, γ = 90.00°
Atoms (fractional coordinates):
Cu (0.3750, 0.1250, 0.2500)
Cu (0.3750, 0.6250, 0.2500)
Cu (0.3750, 0.6250, 0.7500)
Cu (0.8750, 0.6250, 0.7500)
Rb (0.0000, 0.0000, 0.0000)
Rb (0.7500, 0.2500, 0.5000)
Cl (0.2500, 0.7500, 0.5000)
Cl (0.5000, 0.5000, 0.0000)

Computed properties:
Space group   No. 141
Energy relative to the lowest polymorph listed for this composition   0 meV/atom
DOS(E_F)   0.62 states/eV per atom
Total magnetic moment   0.000 μB per atom
Formation energy without anion corrections   -0.013 eV/atom



## HoNbCo2 (PBE-GGA)

Data for a relaxed structure of HoNbCo2.

a = 4.1698 Å, b = 4.1698 Å, c = 5.2779 Å
α = 66.73°, β = 66.73°, γ = 60.00°
Atoms (fractional coordinates):
Ho (0.0000, 0.0000, 0.0000)
Co (0.7920, 0.7920, 0.6241)
Co (0.2080, 0.2080, 0.3759)
Nb (0.5000, 0.5000, 0.5000)

Computed properties:
Space group   No. 166
Energy of formation from the pure elements   -0.072 eV/atom
Energy relative to the lowest polymorph listed for this composition   45 meV/atom
DOS(E_F)   1.35 states/eV per atom
Total magnetic moment   0.000 μB per atom



## NdPuSc (PBE-GGA)

Data for a relaxed structure of NdPuSc.

a = 3.4469 Å, b = 3.4469 Å, c = 8.3859 Å
α = 90.00°, β = 90.00°, γ = 120.00°
Site moments in Bohr magnetons follow the coordinates.
Atoms (fractional coordinates):
Pu (0.6667, 0.3333, 0.3448)  -5.55
Nd (0.0000, 0.0000, 0.9948)  0.04
Sc (0.3333, 0.6667, 0.6604)  -0.03

Computed properties:
Space group   No. 156
Energy of formation from the pure elements   0.166 eV/atom
Energy relative to the lowest polymorph listed for this composition   26 meV/atom
DOS(E_F)   3.10 states/eV per atom
Total magnetic moment   1.983 μB per atom



## NaPa6Se12 (PBE-GGA)

Data for a relaxed structure of NaPa6Se12.

a = 8.3287 Å, b = 8.3287 Å, c = 8.3287 Å
α = 101.17°, β = 101.17°, γ = 101.17°
Site moments in Bohr magnetons follow the coordinates.
Atoms (fractional coordinates):
Se (0.0598, 0.9379, 0.3249)  -0.04
Se (0.6751, 0.9402, 0.0621)  -0.04
Se (0.4344, 0.8251, 0.5757)  -0.04
Se (0.5757, 0.4344, 0.8251)  -0.04
Se (0.9402, 0.0621, 0.6751)  -0.04
Se (0.3249, 0.0598, 0.9379)  -0.04
Se (0.5656, 0.1749, 0.4243)  -0.04
Se (0.9379, 0.3249, 0.0598)  -0.04
Se (0.4243, 0.5656, 0.1749)  -0.04
Se (0.0621, 0.6751, 0.9402)  -0.04
Se (0.8251, 0.5757, 0.4344)  -0.04
Se (0.1749, 0.4243, 0.5656)  -0.04
Pa (0.1331, 0.6217, 0.3004)  1.10
Pa (0.8669, 0.3783, 0.6996)  1.10
Pa (0.6217, 0.3004, 0.1331)  1.10
Pa (0.6996, 0.8669, 0.3783)  1.10
Pa (0.3004, 0.1331, 0.6217)  1.10
Pa (0.3783, 0.6996, 0.8669)  1.10
Na (0.0000, 0.0000, 0.0000)  0.00

Computed properties:
Space group   No. 148
DOS(E_F)   1.70 states/eV per atom
Total magnetic moment   0.371 μB per atom
Formation energy without anion corrections   -1.271 eV/atom



## ScGaCuCl (PBE-GGA)

Data for a relaxed structure of ScGaCuCl.

a = 3.3432 Å, b = 3.2512 Å, c = 14.2704 Å
α = 90.00°, β = 90.00°, γ = 90.00°
Atoms (fractional coordinates):
Ga (0.5000, 0.0000, 0.7643)
Ga (0.5000, 0.5000, 0.2643)
Cl (0.0000, 0.5000, 0.5193)
Cl (0.0000, 0.0000, 0.0193)
Cu (0.0000, 0.0000, 0.1876)
Cu (0.0000, 0.5000, 0.6876)
Sc (0.0000, 0.0000, 0.3832)
Sc (0.0000, 0.5000, 0.8832)

Computed properties:
Space group   No. 38
Energy relative to the lowest polymorph listed for this composition   0 meV/atom
DOS(E_F)   0.28 states/eV per atom
Total magnetic moment   0.000 μB per atom
Formation energy without anion corrections   -0.655 eV/atom



## CaAlZn2Cu (PBE-GGA)

Data for a relaxed structure of CaAlZn2Cu.

a = 4.7474 Å, b = 5.9295 Å, c = 4.7474 Å
α = 90.00°, β = 90.00°, γ = 90.00°
Atoms (fractional coordinates):
Zn (0.5000, 0.0000, 0.0000)
Zn (0.0000, 0.0000, 0.5000)
Al (0.0000, 0.0000, 0.0000)
Cu (0.5000, 0.5000, 0.5000)
Ca (0.0000, 0.5000, 0.0000)

Computed properties:
Space group   No. 123
Energy of formation from the pure elements   0.490 eV/atom
Energy relative to the lowest polymorph listed for this composition   535 meV/atom
DOS(E_F)   0.17 states/eV per atom
Total magnetic moment   0.000 μB per atom



## Ac2CeNdBi4 (PBE-GGA)

Data for a relaxed structure of Ac2CeNdBi4.

a = 4.7454 Å, b = 8.2216 Å, c = 8.2121 Å
α = 70.55°, β = 90.00°, γ = 90.00°
Site moments in Bohr magnetons follow the coordinates.
Atoms (fractional coordinates):
Ac (0.0000, 0.0000, 0.0000)  0.00
Ac (0.5000, 0.0000, 0.5000)  -0.01
Bi (0.5000, 0.2655, 0.7463)  -0.01
Bi (0.5000, 0.7345, 0.2537)  -0.01
Bi (0.0000, 0.2665, 0.2434)  -0.02
Bi (0.0000, 0.7335, 0.7566)  -0.02
Nd (0.0000, 0.5000, 0.5000)  0.00
Ce (0.5000, 0.5000, 0.0000)  0.81

Computed properties:
Space group   No. 10
Energy of formation from the pure elements   -0.930 eV/atom
DOS(E_F)   0.85 states/eV per atom
Total magnetic moment   0.100 μB per atom



## Tl3CuS (PBE-GGA)

Data for a relaxed structure of Tl3CuS.

a = 5.1779 Å, b = 5.1779 Å, c = 5.1779 Å
α = 90.00°, β = 90.00°, γ = 90.00°
Atoms (fractional coordinates):
S (0.5000, 0.5000, 0.5000)
Tl (0.0000, 0.5000, 0.0000)
Tl (0.0000, 0.0000, 0.5000)
Tl (0.5000, 0.0000, 0.0000)
Cu (0.0000, 0.0000, 0.0000)

Computed properties:
Space group   No. 221
Energy relative to the lowest polymorph listed for this composition   0 meV/atom
DOS(E_F)   0.19 states/eV per atom
Total magnetic moment   0.000 μB per atom
Formation energy without anion corrections   0.133 eV/atom



## TaHgRu2 (PBE-GGA)

Data for a relaxed structure of TaHgRu2.

a = 2.9003 Å, b = 2.9003 Å, c = 8.8318 Å
α = 90.00°, β = 90.00°, γ = 112.61°
Atoms (fractional coordinates):
Ta (0.5000, 0.5000, 0.2500)
Ru (0.0000, 0.0000, 0.0240)
Ru (0.0000, 0.0000, 0.4760)
Hg (0.5000, 0.5000, 0.7500)

Computed properties:
Space group   No. 65
Energy of formation from the pure elements   0.184 eV/atom
DOS(E_F)   0.82 states/eV per atom
Total magnetic moment   0.000 μB per atom



## Pm4Sn3Ru (PBE-GGA)

Data for a relaxed structure of Pm4Sn3Ru.

a = 4.5042 Å, b = 4.3779 Å, c = 11.3154 Å
α = 90.00°, β = 90.00°, γ = 90.00°
Atoms (fractional coordinates):
Ru (0.5000, 0.5000, 0.0820)
Sn (0.0000, 0.0000, 0.4133)
Sn (0.5000, 0.0000, 0.9268)
Sn (0.0000, 0.5000, 0.5921)
Pm (0.0000, 0.0000, 0.1330)
Pm (0.5000, 0.0000, 0.6405)
Pm (0.0000, 0.5000, 0.8783)
Pm (0.5000, 0.5000, 0.3339)

Computed properties:
Space group   No. 25
Energy of formation from the pure elements   -0.585 eV/atom
DOS(E_F)   0.94 states/eV per atom
Total magnetic moment   0.000 μB per atom



## YSbAs2 (PBE-GGA)

Data for a relaxed structure of YSbAs2.

a = 6.1069 Å, b = 6.1069 Å, c = 6.1069 Å
α = 140.89°, β = 139.46°, γ = 57.59°
Atoms (fractional coordinates):
As (0.9863, 0.9863, 0.0000)
As (0.7488, 0.2488, 0.5000)
Y (0.2550, 0.7550, 0.5000)
Sb (0.5099, 0.5099, 0.0000)

Computed properties:
Space group   No. 44
DOS(E_F)   0.42 states/eV per atom
Total magnetic moment   0.000 μB per atom
Formation energy without anion corrections   -0.520 eV/atom



## YCrCd3 (PBE-GGA)

Data for a relaxed structure of YCrCd3.

a = 5.0989 Å, b = 5.0989 Å, c = 5.0989 Å
α = 90.00°, β = 90.00°, γ = 90.00°
Site moments in Bohr magnetons follow the coordinates.
Atoms (fractional coordinates):
Cd (0.0000, 0.5000, 0.0000)  0.03
Cd (0.0000, 0.0000, 0.5000)  0.02
Cd (0.5000, 0.0000, 0.0000)  0.02
Y (0.5000, 0.5000, 0.5000)  -0.33
Cr (0.0000, 0.0000, 0.0000)  3.51

Computed properties:
Space group   No. 221
Energy of formation from the pure elements   0.424 eV/atom
Energy relative to the lowest polymorph listed for this composition   0 meV/atom
DOS(E_F)   0.45 states/eV per atom
Total magnetic moment   0.612 μB per atom



## Zr2CdPd3 (PBE-GGA)

Data for a relaxed structure of Zr2CdPd3.

a = 5.4620 Å, b = 7.3135 Å, c = 7.3135 Å
α = 120.98°, β = 90.00°, γ = 90.00°
Atoms (fractional coordinates):
Pd (0.9684, 0.5010, 0.5010)
Pd (0.9700, 0.8151, 0.1845)
Pd (0.4700, 0.1849, 0.8155)
Pd (0.4700, 0.8155, 0.1849)
Pd (0.4684, 0.4990, 0.4990)
Pd (0.9700, 0.1845, 0.8151)
Cd (0.2188, 0.1481, 0.1481)
Cd (0.7188, 0.8519, 0.8519)
Zr (0.2203, 0.5151, 0.8326)
Zr (0.7203, 0.1674, 0.4849)
Zr (0.7203, 0.4849, 0.1674)
Zr (0.2203, 0.8326, 0.5151)

Computed properties:
Space group   No. 36
Energy of formation from the pure elements   -0.349 eV/atom
Energy relative to the lowest polymorph listed for this composition   239 meV/atom
DOS(E_F)   0.81 states/eV per atom
Total magnetic moment   0.000 μB per atom



## Ce2CdHg2 (PBE-GGA)

Data for a relaxed structure of Ce2CdHg2.

a = 4.9868 Å, b = 6.0654 Å, c = 9.7157 Å
α = 103.75°, β = 90.00°, γ = 114.27°
Site moments in Bohr magnetons follow the coordinates.
Atoms (fractional coordinates):
Ce (0.1678, 0.3355, 0.0562)  0.81
Ce (0.8322, 0.6645, 0.9438)  0.81
Ce (0.0443, 0.0885, 0.3761)  0.71
Ce (0.9557, 0.9115, 0.6239)  0.71
Cd (0.7366, 0.4732, 0.2927)  0.00
Cd (0.2634, 0.5268, 0.7073)  0.00
Hg (0.4738, 0.9476, 0.1432)  -0.01
Hg (0.5262, 0.0524, 0.8568)  -0.01
Hg (0.3572, 0.7144, 0.4076)  0.00
Hg (0.6428, 0.2856, 0.5924)  0.00

Computed properties:
Space group   No. 12
Energy of formation from the pure elements   -0.260 eV/atom
Energy relative to the lowest polymorph listed for this composition   0 meV/atom
DOS(E_F)   2.42 states/eV per atom
Total magnetic moment   0.342 μB per atom



## CaSc2C (PBE-GGA)

Data for a relaxed structure of CaSc2C.

a = 9.3166 Å, b = 9.3166 Å, c = 9.3166 Å
α = 20.91°, β = 20.91°, γ = 20.91°
Atoms (fractional coordinates):
C (0.5000, 0.5000, 0.5000)
Sc (0.8778, 0.8778, 0.8778)
Sc (0.1222, 0.1222, 0.1222)
Ca (0.0000, 0.0000, 0.0000)

Computed properties:
Space group   No. 166
Energy of formation from the pure elements   -0.195 eV/atom
DOS(E_F)   0.71 states/eV per atom
Total magnetic moment   0.000 μB per atom



## Ac2BeGe4Pd3 (PBE-GGA)

Data for a relaxed structure of Ac2BeGe4Pd3.

a = 4.4143 Å, b = 4.4143 Å, c = 10.3822 Å
α = 90.00°, β = 90.00°, γ = 90.00°
Atoms (fractional coordinates):
Pd (0.0000, 0.5000, 0.1291)
Pd (0.5000, 0.0000, 0.8709)
Pd (0.0000, 0.0000, 0.5000)
Ac (0.0000, 0.5000, 0.7465)
Ac (0.5000, 0.0000, 0.2535)
Ge (0.5000, 0.5000, 0.0000)
Ge (0.0000, 0.5000, 0.3777)
Ge (0.0000, 0.0000, 0.0000)
Ge (0.5000, 0.0000, 0.6223)
Be (0.5000, 0.5000, 0.5000)

Computed properties:
Space group   No. 115
Energy of formation from the pure elements   -0.700 eV/atom
DOS(E_F)   0.40 states/eV per atom
Total magnetic moment   0.000 μB per atom